The following is a DFT calculation (PBE) of crystalline CaLa2Au at its relaxed geometry.

a b c (Å): 3.9792 3.9792 31.4289
angles (deg): 90.00 90.00 120.00
Closest atoms and distances in Å follow each position.
Space group R-3m (No. 166, hexagonal axes)
Unique sites:
Ca (0.0000, 0.0000, 0.0000)  6 La 3.93, 6 Ca 3.98
La (0.0000, 0.0000, 0.2318)  3 Au 3.08
Au (0.0000, 0.0000, 0.5000)  6 La 3.08

calculated formation energy: -1.1 eV per formula unit
distance to the lowest polymorph of the same formula: 0.107 eV per atom
N(E_F): 14.569 states/eV/cell